1.
Density functional theory data (GGA-PBE) for a geometry-optimized BaAg2Te structure.

Cell and atoms, written as CIF:
```
data_BaAg2Te
_cell_length_a 7.797
_cell_length_b 7.797
_cell_length_c 7.797
_cell_angle_alpha 90.00
_cell_angle_beta 90.00
_cell_angle_gamma 90.00
_space_group_name_H-M_alt 'F -4 3 m'
_space_group_IT_number 216
_space_group_name_Hall 'F -4 2 3'
loop_
_atom_site_label
_atom_site_fract_x
_atom_site_fract_y
_atom_site_fract_z
_atom_site_occupancy
Ba1 0.000 0.000 0.000 1
Ag1 0.000 0.000 0.500 1
Ag2 0.250 0.250 0.250 1
Te1 0.250 0.250 0.750 1
```

Properties
Fermi-level density of states = 2.26 states/eV/cell
DFT total energy = -0.2229 Ry/atom
M_tot = 0.00 μB/f.u.
V = 119 Å³/f.u.
formation energy (no corrections) = -0.34 eV per atom

***

2.
Density functional theory data (GGA-PBE) for a geometry-optimized AcBe2SeO8 structure.

Cell and atoms, written as CIF:
```
data_AcBe2SeO8
_cell_length_a 7.740
_cell_length_b 5.137
_cell_length_c 7.232
_cell_angle_alpha 90.00
_cell_angle_beta 90.99
_cell_angle_gamma 90.00
_space_group_name_H-M_alt 'C 1 2/m 1'
_space_group_IT_number 12
_space_group_name_Hall '-C 2y'
loop_
_atom_site_label
_atom_site_fract_x
_atom_site_fract_y
_atom_site_fract_z
_atom_site_occupancy
Ac1 0.000 0.000 0.000 1
Be1 0.128 0.500 0.304 1
Se1 0.000 0.000 0.500 1
O1 0.010 0.239 0.318 1
O2 0.187 0.500 0.090 1
O3 0.232 0.000 0.522 1
```

Properties
Fermi-level density of states = 9.25 states/eV/cell
DFT total energy = -0.4467 Ry/atom
M_tot = 3.01 μB/f.u.
V = 144 Å³/f.u.
formation energy (no corrections) = -1.52 eV per atom

***

Q: The lowest formation energy (no corrections) belongs to which entry?
A: AcBe2SeO8

***

Q: Among the records above, which one has the highest V?
A: AcBe2SeO8